Below is crystalline Pm2Y4Sn3O2 at its relaxed geometry, with properties calculated at the PBE level.

abc: 4.6739 4.6739 13.1258
angles: 100.26 100.26 90.00
Closest atoms and distances in Å follow each position.
Positions (direct):
O1 0.4053 0.4053 0.8106  4 Y 2.36, 1 Pm 2.54
O2 0.5947 0.5947 0.1894  4 Y 2.36, 1 Pm 2.54
Pm1 0.6946 0.6946 0.3893  1 O 2.54
Pm2 0.3054 0.3054 0.6107  1 O 2.54
Y1 0.4177 0.9177 0.8355  2 O 2.36
Y2 0.0823 0.5823 0.1645  2 O 2.36
Y3 0.9177 0.4177 0.8355  2 O 2.36
Y4 0.5823 0.0823 0.1645  2 O 2.36
Sn1 0.1757 0.1757 0.3514  5 Pm 3.29-3.34, 4 Y 3.33
Sn2 0.8243 0.8243 0.6486  5 Pm 3.29-3.34, 4 Y 3.33
Sn3 0.0000 0.0000 0.0000  8 Y 3.14

Values from the calculation:
The total magnetic moment comes out at 0.0 μB per formula unit. For the density of states at the Fermi level, the calculation gives 7.86 states/eV per cell. The calculation puts the uncorrected formation energy at -1541 meV/atom. As for the crystal system: tetragonal. Its space-group type is I4/mmm. For the electronic total energy, the calculation gives -6.75 eV per atom.